No. 1
# Ta6HC3N2 (PBE, optimized geometry)
data_Ta6HC3N2
_chemical_formula_sum 'Ta12 H2 C6 N4'
_cell_length_a 5.444
_cell_length_b 9.421
_cell_length_c 5.429
_cell_angle_alpha 90.00
_cell_angle_beta 109.88
_cell_angle_gamma 90.00
_symmetry_space_group_name_H-M 'C 1 2/m 1'
_symmetry_Int_Tables_number 12
loop_
_symmetry_equiv_pos_as_xyz
'x,y,z'
'-x,-y,-z'
'-x,y,-z'
'x,-y,z'
'x+1/2,y+1/2,z'
'-x+1/2,-y+1/2,-z'
'-x+1/2,y+1/2,-z'
'x+1/2,-y+1/2,z'
loop_
_atom_site_label
_atom_site_type_symbol
_atom_site_fract_x
_atom_site_fract_y
_atom_site_fract_z
_atom_site_occupancy
Ta1 Ta 0.245 0.000 0.254 1
Ta2 Ta 0.246 0.162 0.753 1
H1 H 0.000 0.000 0.500 1
C1 C 0.000 0.169 0.000 1
C2 C 0.000 0.500 0.000 1
N1 N 0.000 0.333 0.500 1
# Energy: -10.566 eV/atom
# Crystal system: monoclinic
# M_tot: 0.00 μB/f.u.

No. 2
# MoOsBr2 (PBE, optimized geometry)
data_MoOsBr2
_chemical_formula_sum 'Mo1 Os1 Br2'
_cell_length_a 3.030
_cell_length_b 3.030
_cell_length_c 9.070
_cell_angle_alpha 90.00
_cell_angle_beta 90.00
_cell_angle_gamma 90.00
_symmetry_space_group_name_H-M 'P 4 m m'
_symmetry_Int_Tables_number 99
loop_
_symmetry_equiv_pos_as_xyz
'x,y,z'
'-y,x,z'
'-x,-y,z'
'y,-x,z'
'-x,y,z'
'y,x,z'
'x,-y,z'
'-y,-x,z'
loop_
_atom_site_label
_atom_site_type_symbol
_atom_site_fract_x
_atom_site_fract_y
_atom_site_fract_z
_atom_site_occupancy
Mo1 Mo 0.000 0.000 0.000 1
Os1 Os 0.500 0.500 0.177 1
Br1 Br 0.000 0.000 0.395 1
Br2 Br 0.500 0.500 0.801 1
# Uncorrected formation energy: 0.333 eV/atom
# Energy: -6.019 eV/atom
# Crystal system: tetragonal
# M_tot: 0.00 μB/f.u.
# Polymorph energy (0 for the lowest one): 158 meV per atom